First-principles (PBE) data for crystalline Th2Tl2Tc at its relaxed geometry, as listed in Alexandria.

```
5
Lattice="3.411 0.000 -0.547 -0.088 3.410 -0.547 0.096 0.098 11.501" Properties=species:S:1:pos:R:3 pbc="T T T"
Th 1.945 1.995 1.216
Th 1.475 1.513 9.190
Tl 2.724 2.795 6.072
Tl 0.695 0.713 4.334
Tc 0.000 0.000 0.000
```

Summary:
space-group type = I4/mmm (139)
raw total energy = -6.10 eV per atom